## BeMo2Se (GGA-PBE)

Data for a geometry-optimized BeMo2Se structure.

a = 4.288 Å, b = 4.288 Å, c = 4.288 Å
α = 60.00°, β = 60.00°, γ = 60.00°
Sites, in units of the cell vectors:
Mo (0.750, 0.750, 0.750)
Mo (0.250, 0.250, 0.250)
Se (0.500, 0.500, 0.500)
Be (0.000, 0.000, 0.000)

Results
For the uncorrected formation energy, the calculation gives 1.266 eV/f.u. For the total energy, the calculation gives -27.61 eV per cell.